DFT (PBE) results for an optimized crystal structure of LiY2Sn2.

Cell lengths 7.5693, 7.5693, 4.5718 Å; angles 90.00, 90.00, 90.00 degrees
With the nearest neighbours (Å) after each atom.
Space group P4/mbm (No. 127)
Asymmetric unit:
Li (0.0000, 0.0000, 0.0000)  4 Sn 2.94
Y (0.1713, 0.3287, 0.5000)  6 Sn 3.08-3.27
Sn (0.1355, 0.6355, 0.0000)  1 Sn 2.90, 2 Li 2.94, 2 Y 3.08

Output
Raw total energy   -52.0 eV for the cell shown
Formation energy   -0.635 eV/atom
Mass density   5.4 g/cm3
Relative energy among the computed polymorphs   0 meV/atom

DFT (PBE) results for an optimized crystal structure of HgMo2.

Cell lengths 4.1950, 11.7128, 4.2365 Å; angles 90.00, 90.00, 90.00 degrees
With the nearest neighbours (Å) after each atom.
Space group Cmmm (No. 65)
Asymmetric unit:
Hg (0.0000, 0.1664, 0.0000)  10 Mo 2.86-3.06, 2 Hg 2.87
Mo (0.0000, 0.0000, 0.5000)  8 Mo 2.70-2.98, 4 Hg 2.88
Mo (0.0000, 0.3553, 0.5000)  4 Mo 2.70-2.71, 4 Hg 2.99
Mo (0.0000, 0.5000, 0.0000)  8 Mo 2.71-2.98, 4 Hg 2.86

Output
Raw total energy   -82.2 eV for the cell shown
Formation energy   0.473 eV/atom
Mass density   12.5 g/cm3
Relative energy among the computed polymorphs   69 meV/atom

relative energy among the computed polymorphs of number 1 (LiY2Sn2)?
0 meV/atom